DFT (GGA+U) results for a relaxed RbNdV2O8 crystal.

```
data_RbNdV2O8
_space_group_name_H-M_alt 'P -3 m 1'
_space_group_IT_number 164
_space_group_name_Hall '-P 3 2"'
_cell_length_a 6.0186
_cell_length_b 6.0186
_cell_length_c 8.1852
_cell_angle_alpha 90.00
_cell_angle_beta 90.00
_cell_angle_gamma 120.00
loop_
_atom_site_label
_atom_site_type_symbol
_atom_site_fract_x
_atom_site_fract_y
_atom_site_fract_z
Rb1 Rb 0.0000 0.0000 0.0000
Nd1 Nd 0.0000 0.0000 0.5000
V1 V 0.3333 0.6667 0.7507
O1 O 0.1749 0.3499 0.6821
O2 O 0.3333 0.6667 0.9608
```

* size of the total moment: 2.02 μB/cell
* E_tot: -6.9546 eV per atom
* volume: 256.8 Å³/f.u.